(1)
Computed, not measured: ScGa2FeCu4 after structural relaxation at the GGA-PBE level of DFT.

Summary:
Distance to the lowest polymorph of the same formula: 0 meV per atom

Cell: 4.2539 4.2539 6.0414 Å, 90.00 90.00 90.00°
Last column: nearest neighbours and their distance in Å.
Fractional coordinates of all 8 atoms:
1 Ga 0.0000 0.0000 0.0000  8 Cu 2.67
2 Ga 0.5000 0.5000 0.5000  8 Cu 2.55
3 Sc 0.5000 0.5000 0.0000  8 Cu 2.67
4 Cu 0.0000 0.5000 0.2672  4 Ga 2.55-2.67, 2 Fe 2.55, 2 Sc 2.67, 1 Cu 2.81
5 Cu 0.0000 0.5000 0.7328  4 Ga 2.55-2.67, 2 Fe 2.55, 2 Sc 2.67, 1 Cu 2.81
6 Cu 0.5000 0.0000 0.7328  4 Ga 2.55-2.67, 2 Fe 2.55, 2 Sc 2.67, 1 Cu 2.81
7 Cu 0.5000 0.0000 0.2672  4 Ga 2.55-2.67, 2 Fe 2.55, 2 Sc 2.67, 1 Cu 2.81
8 Fe 0.0000 0.0000 0.5000  8 Cu 2.55



(2)
Computed, not measured: ScTlCuAg after structural relaxation at the GGA-PBE level of DFT.

Summary:
Distance to the lowest polymorph of the same formula: 0 meV per atom

Cell: 4.7295 4.7295 4.7295 Å, 60.00 60.00 60.00°
Last column: nearest neighbours and their distance in Å.
Fractional coordinates of all 4 atoms:
1 Tl 0.0000 0.0000 0.0000  4 Ag 2.90, 4 Cu 2.90
2 Ag 0.2500 0.2500 0.2500  4 Sc 2.90, 4 Tl 2.90
3 Cu 0.7500 0.7500 0.7500  4 Tl 2.90, 4 Sc 2.90
4 Sc 0.5000 0.5000 0.5000  4 Ag 2.90, 4 Cu 2.90



(3)
Computed, not measured: ScBeCoSn after structural relaxation at the GGA-PBE level of DFT.

Summary:
Distance to the lowest polymorph of the same formula: 0 meV per atom

Cell: 4.3665 4.3665 4.3665 Å, 60.00 60.00 60.00°
Last column: nearest neighbours and their distance in Å.
Fractional coordinates of all 4 atoms:
1 Sc 0.0000 0.0000 0.0000  4 Co 2.67, 4 Be 2.67
2 Be 0.7500 0.7500 0.7500  4 Sn 2.67, 4 Sc 2.67
3 Co 0.2500 0.2500 0.2500  4 Sn 2.67, 4 Sc 2.67
4 Sn 0.5000 0.5000 0.5000  4 Be 2.67, 4 Co 2.67



(4)
Computed, not measured: K2UCl5 after structural relaxation at the GGA-PBE level of DFT.

Summary:
E_tot: -4.6878 eV/atom

Cell: 12.8351 8.7481 8.0390 Å, 90.00 90.00 90.00°
Last column: nearest neighbours and their distance in Å.
Fractional coordinates of all 32 atoms:
1 U 0.4966 0.7500 0.9294  7 Cl 2.78-2.84
2 U 0.0034 0.2500 0.4294  7 Cl 2.78-2.84
3 U 0.5034 0.2500 0.0706  7 Cl 2.78-2.84
4 U 0.9966 0.7500 0.5706  7 Cl 2.78-2.84
5 Cl 0.2943 0.2500 0.1648  1 U 2.79
6 Cl 0.6796 0.2500 0.8697  1 U 2.78
7 Cl 0.7943 0.2500 0.3352  1 U 2.79
8 Cl 0.0801 0.5418 0.3343  2 U 2.84
9 Cl 0.9199 0.0418 0.6657  2 U 2.84
10 Cl 0.0060 0.2500 0.0764  1 U 2.84
11 Cl 0.3204 0.7500 0.1303  1 U 2.78
12 Cl 0.4199 0.0418 0.8343  2 U 2.84
13 Cl 0.9940 0.7500 0.9236  1 U 2.84
14 Cl 0.7057 0.7500 0.8352  1 U 2.79
15 Cl 0.1796 0.2500 0.6303  1 U 2.78
16 Cl 0.5801 0.9582 0.1657  2 U 2.84
17 Cl 0.9199 0.4582 0.6657  2 U 2.84
18 Cl 0.0801 0.9582 0.3343  2 U 2.84
19 Cl 0.5801 0.5418 0.1657  2 U 2.84
20 Cl 0.2057 0.7500 0.6648  1 U 2.79
21 Cl 0.5060 0.2500 0.4236  1 U 2.84
22 Cl 0.4199 0.4582 0.8343  2 U 2.84
23 Cl 0.4940 0.7500 0.5764  1 U 2.84
24 Cl 0.8204 0.7500 0.3697  1 U 2.78
25 K 0.8291 0.9950 0.0511  8 Cl 3.18-3.34
26 K 0.6709 0.0050 0.5511  8 Cl 3.18-3.34
27 K 0.1709 0.4950 0.9489  8 Cl 3.18-3.34
28 K 0.8291 0.5050 0.0511  8 Cl 3.18-3.34
29 K 0.3291 0.9950 0.4489  8 Cl 3.18-3.34
30 K 0.6709 0.4950 0.5511  8 Cl 3.18-3.34
31 K 0.3291 0.5050 0.4489  8 Cl 3.18-3.34
32 K 0.1709 0.0050 0.9489  8 Cl 3.18-3.34



Magnetic moment for the records above, in order: 2.996 0.001 0.003 2.998 μB per formula unit
Calculated volume for the records above, in order: 109.3 74.8 58.9 902.6 Å³/cell